# 1
Computed, not measured: SmHoIn2 after structural relaxation at the GGA-PBE level of DFT.

Summary:
symmetry = Cmmm
final energy = -16.66 eV per cell
size of the total moment = 0.00 Bohr magnetons per cell
formation enthalpy at 0 K = -0.47 eV/atom

POSCAR file:
```
SmHoIn2
1.0
3.4924 -4.3669 0.0000
3.4924 4.3669 0.0000
0.0000 0.0000 3.5441
Sm Ho In
1 1 2
Direct
0.0000 0.0000 0.0000
0.5000 0.5000 0.0000
0.0000 0.5000 0.5000
0.5000 0.0000 0.5000
```



# 2
Computed, not measured: Zr8Co2Ru after structural relaxation at the GGA-PBE level of DFT.

Summary:
symmetry = C2/m
final energy = -94.12 eV per cell
size of the total moment = 0.00 Bohr magnetons per cell
formation enthalpy at 0 K = -0.20 eV/atom

POSCAR file:
```
Zr8Co2Ru
1.0
8.2756 -2.3372 0.0000
8.2756 2.3372 0.0000
-2.0029 0.0000 5.6838
Zr Co Ru
8 2 1
Direct
0.0300 0.0300 0.2770
0.1997 0.1997 0.8447
0.3244 0.3244 0.4896
0.4078 0.4078 0.0235
0.5922 0.5922 0.9765
0.6756 0.6756 0.5104
0.8003 0.8003 0.1553
0.9700 0.9700 0.7230
0.1709 0.1709 0.2389
0.8291 0.8291 0.7611
0.5000 0.5000 0.5000
```



Q: Among the records above, which one has the highest formation enthalpy at 0 K?
A: Zr8Co2Ru